DFT (PBE) results for a geometry-optimized PrH3Pd structure.

The calculation puts the electronic total energy at -44.59 eV for the cell shown. For the theoretical density, the calculation gives 7.1 g/cm3.

The space group is P2_1/m (No. 11) and the conventional cell measures 3.749, 5.522 and 5.618 Å, with angles of 90.00, 90.03 and 90.00 degrees. Symmetry generates all atoms from Pr at (0.003, 0.250, 0.246), H at (0.001, 0.250, 0.756), H at (0.498, 0.750, 0.958), H at (0.500, 0.000, 0.500) and Pd at (0.499, 0.750, 0.277).